A plane-wave DFT calculation with PBE-GGA was carried out for a relaxed structure of Cu2TcPb.

Computed properties:
Spin magnetization ... 0.95 μB/f.u.
Final energy ... -5.1406 eV per atom

Cell and atoms, written as CIF:
```
data_Cu2TcPb
_cell_length_a 3.981
_cell_length_b 3.981
_cell_length_c 3.980
_cell_angle_alpha 90.00
_cell_angle_beta 90.00
_cell_angle_gamma 90.00
_symmetry_space_group_name_H-M 'P 4/m m m'
_symmetry_Int_Tables_number 123
_symmetry_space_group_name_Hall '-P 4 2'
loop_
_atom_site_label
_atom_site_type_symbol
_atom_site_fract_x
_atom_site_fract_y
_atom_site_fract_z
_atom_site_occupancy
Cu1 Cu 0.000 0.500 0.000 1
Tc1 Tc 0.000 0.000 0.500 1
Pb1 Pb 0.500 0.500 0.500 1
```



A plane-wave DFT calculation with PBE-GGA was carried out for a relaxed structure of HoCoSi2Tc.

Computed properties:
Uncorrected formation energy ... -715.7 meV/atom
Spin magnetization ... 0.00 μB/f.u.
Final energy ... -7.2949 eV per atom

Cell and atoms, written as CIF:
```
data_HoCoSi2Tc
_cell_length_a 4.077
_cell_length_b 4.077
_cell_length_c 9.642
_cell_angle_alpha 90.00
_cell_angle_beta 90.00
_cell_angle_gamma 90.00
_symmetry_space_group_name_H-M 'I -4 m 2'
_symmetry_Int_Tables_number 119
_symmetry_space_group_name_Hall 'I -4 -2'
loop_
_atom_site_label
_atom_site_type_symbol
_atom_site_fract_x
_atom_site_fract_y
_atom_site_fract_z
_atom_site_occupancy
Ho1 Ho 0.000 0.000 0.000 1
Co1 Co 0.000 0.500 0.750 1
Si1 Si 0.000 0.000 0.371 1
Tc1 Tc 0.000 0.500 0.250 1
```



A plane-wave DFT calculation with PBE-GGA was carried out for a relaxed structure of NaSi2Hg2.

Computed properties:
Uncorrected formation energy ... 273.5 meV/atom
Spin magnetization ... 0.00 μB/f.u.
Final energy ... -2.2802 eV per atom
Energy above the most stable polymorph in this dataset ... 130 meV/atom

Cell and atoms, written as CIF:
```
data_NaSi2Hg2
_cell_length_a 7.489
_cell_length_b 7.489
_cell_length_c 3.888
_cell_angle_alpha 90.00
_cell_angle_beta 90.00
_cell_angle_gamma 90.00
_symmetry_space_group_name_H-M 'P 4/m b m'
_symmetry_Int_Tables_number 127
_symmetry_space_group_name_Hall '-P 4 2ab'
loop_
_atom_site_label
_atom_site_type_symbol
_atom_site_fract_x
_atom_site_fract_y
_atom_site_fract_z
_atom_site_occupancy
Na1 Na 0.000 0.000 0.000 1
Si1 Si 0.111 0.389 0.000 1
Hg1 Hg 0.192 0.692 0.500 1
```



final energy of number 3 (NaSi2Hg2)? -2.2802 eV per atom



What is the formula in the second record? HoCoSi2Tc